Here is a relaxed KCu2HgSe2 crystal from the Alexandria database. Energies are from PBE.

Cell: 6.4959 5.4475 8.6685 Å, 90.00 101.12 90.00°
Last column: nearest neighbours and their distance in Å.
Space group P2_1/m (No. 11)
Symmetry-distinct sites (fractional):
K (0.2454, 0.2500, 0.0368)  6 Se 3.40-3.71, 4 Cu 3.55-3.73
Cu (0.0279, 0.0031, 0.3490)  2 Se 2.34-2.35
Hg (0.3123, 0.2500, 0.5677)  1 Se 2.69, 4 Cu 2.73-2.81
Se (0.2365, 0.7500, 0.7938)  2 Cu 2.34
Se (0.2864, 0.7500, 0.2775)  2 Cu 2.35

Output
total moment	0.00	μB/f.u.
N(E_F)	0.374	states/eV per atom
energy relative to the elements, uncorrected	-8.707	kcal/mol of atoms

---

Here is a relaxed PrPuMgSn crystal from the Alexandria database. Energies are from PBE.

Cell: 7.6737 7.6737 7.6737 Å, 90.00 90.00 90.00°
Last column: nearest neighbours and their distance in Å.
Space group F-43m (No. 216)
Symmetry-distinct sites (fractional):
Pr (0.0000, 0.0000, 0.0000)  4 Sn 3.32, 4 Mg 3.32
Pu (0.0000, 0.0000, 0.5000)  4 Sn 3.32, 4 Mg 3.32
Mg (0.2500, 0.2500, 0.7500)  4 Pr 3.32, 4 Pu 3.32
Sn (0.2500, 0.2500, 0.2500)  4 Pr 3.32, 4 Pu 3.32

Output
total moment	6.51	μB/f.u.
N(E_F)	2.608	states/eV per atom

---

Here is a relaxed SrZnHg2 crystal from the Alexandria database. Energies are from PBE.

Cell: 3.9065 3.9065 6.9792 Å, 90.00 90.00 90.00°
Last column: nearest neighbours and their distance in Å.
Space group P4mm (No. 99)
Symmetry-distinct sites (fractional):
Sr (0.0000, 0.0000, 0.0000)  5 Hg 3.29-3.39, 4 Zn 3.45
Zn (0.5000, 0.5000, 0.2958)  5 Hg 2.94-3.02
Hg (0.0000, 0.0000, 0.4714)  4 Zn 3.02, 4 Hg 3.25, 1 Sr 3.29
Hg (0.5000, 0.5000, 0.7173)  1 Zn 2.94, 4 Hg 3.25

Output
total moment	0.00	μB/f.u.
N(E_F)	0.371	states/eV per atom

---

Here is a relaxed Ac3Dy2Tl3 crystal from the Alexandria database. Energies are from PBE.

Cell: 4.0120 5.7645 23.8799 Å, 90.00 90.00 90.00°
Last column: nearest neighbours and their distance in Å.
Space group Immm (No. 71)
Symmetry-distinct sites (fractional):
Ac (0.0000, 0.0000, 0.0000)  8 Tl 3.51-3.68
Ac (0.0000, 0.5000, 0.1255)  6 Tl 3.51-3.61, 4 Dy 3.88-3.90
Dy (0.0000, 0.0000, 0.2354)  2 Tl 3.23, 4 Dy 3.58
Tl (0.0000, 0.0000, 0.5000)  8 Ac 3.51-3.61
Tl (0.0000, 0.5000, 0.3708)  2 Dy 3.23, 4 Ac 3.51

Output
total moment	0.00	μB/f.u.
N(E_F)	1.302	states/eV per atom

---

Here is a relaxed Tc2PtW crystal from the Alexandria database. Energies are from PBE.

Cell: 2.7608 2.7608 7.9965 Å, 90.00 90.00 90.00°
Last column: nearest neighbours and their distance in Å.
Space group P4/mmm (No. 123)
Symmetry-distinct sites (fractional):
Tc (0.0000, 0.0000, 0.2470)  4 Tc 2.76, 4 W 2.78, 4 Pt 2.81
Pt (0.5000, 0.5000, 0.5000)  4 Pt 2.76, 8 Tc 2.81
W (0.5000, 0.5000, 0.0000)  4 W 2.76, 8 Tc 2.78

Output
total moment	0.00	μB/f.u.
N(E_F)	0.849	states/eV per atom
energy relative to the lowest polymorph listed for this composition	0.180	eV/atom

---

Total energy per entry: -3.138; -6.413; -1.109; -3.824; -9.916 eV per atom